Nb4CuSe8 (SCAN, PBEsol geometry); crystal system = monoclinic; uncorrected formation energy = -0.85 eV/atom; ρ = 6.85 Mg/m³; E = -24.564 eV/atom; total moment = 0.00 μB per formula unit
1.0
12.8426 -1.7301 0.0000
12.8426 1.7301 0.0000
-1.3709 0.0000 5.8208
Nb Cu Se
4 1 8
Direct
0.1257 0.1257 0.1145
0.3737 0.3737 0.3607
0.6263 0.6263 0.6393
0.8743 0.8743 0.8855
0.0000 0.0000 0.0000
0.0576 0.0576 0.7154
0.1941 0.1941 0.8613
0.3093 0.3093 0.6417
0.4394 0.4394 0.7642
0.5606 0.5606 0.2358
0.6907 0.6907 0.3583
0.8059 0.8059 0.1387
0.9424 0.9424 0.2846